No. 1
# Ac6Mg23 | Alexandria | GGA-PBE | optimized geometry
data_Ac6Mg23
_chemical_formula_sum 'Ac24 Mg92'
_symmetry_space_group_name_H-M 'F m -3 m'
_symmetry_Int_Tables_number 225
_symmetry_space_group_name_Hall '-F 4 2 3'
_cell_length_a 14.834
_cell_length_b 14.834
_cell_length_c 14.834
_cell_angle_alpha 90.00
_cell_angle_beta 90.00
_cell_angle_gamma 90.00
loop_
_atom_site_label
_atom_site_fract_x
_atom_site_fract_y
_atom_site_fract_z
_atom_site_occupancy
Ac1 0.000 0.000 0.206 1
Mg1 0.000 0.000 0.500 1
Mg2 0.000 0.250 0.250 1
Mg3 0.122 0.122 0.378 1
Mg4 0.174 0.174 0.174 1
# Energy of formation, eV/atom: -0.10

---

No. 2
# Ac5Mg | Alexandria | GGA-PBE | optimized geometry
data_Ac5Mg
_chemical_formula_sum 'Ac5 Mg1'
_symmetry_space_group_name_H-M 'P 4/m m m'
_symmetry_Int_Tables_number 123
_symmetry_space_group_name_Hall '-P 4 2'
_cell_length_a 4.029
_cell_length_b 4.029
_cell_length_c 15.483
_cell_angle_alpha 90.00
_cell_angle_beta 90.00
_cell_angle_gamma 90.00
loop_
_atom_site_label
_atom_site_fract_x
_atom_site_fract_y
_atom_site_fract_z
_atom_site_occupancy
Ac1 0.000 0.000 0.000 1
Ac2 0.000 0.000 0.362 1
Ac3 0.500 0.500 0.182 1
Mg1 0.500 0.500 0.500 1
# Offset from the most stable computed form, meV/atom: 0
# Energy of formation, eV/atom: -0.02

---

No. 3
# Ac2Mg | Alexandria | GGA-PBE | optimized geometry
data_Ac2Mg
_chemical_formula_sum 'Ac8 Mg4'
_symmetry_space_group_name_H-M 'I 41/a m d'
_symmetry_Int_Tables_number 141
_cell_length_a 4.072
_cell_length_b 4.072
_cell_length_c 29.196
_cell_angle_alpha 90.00
_cell_angle_beta 90.00
_cell_angle_gamma 90.00
loop_
_symmetry_equiv_pos_as_xyz
'x,y,z'
'-x,-y,-z'
'-y+1/4,x+3/4,z+1/4'
'y+1/4,-x+3/4,-z+1/4'
'-x+1/2,-y,z+1/2'
'x+1/2,y,-z+1/2'
'y+1/4,-x+1/4,z+3/4'
'-y+1/4,x+1/4,-z+3/4'
'x,-y,-z'
'-x,y,z'
'-y+1/4,-x+1/4,-z+3/4'
'y+1/4,x+1/4,z+3/4'
'-x+1/2,y,-z+1/2'
'x+1/2,-y,z+1/2'
'y+1/4,x+3/4,-z+1/4'
'-y+1/4,-x+3/4,z+1/4'
'x+1/2,y+1/2,z+1/2'
'-x+1/2,-y+1/2,-z+1/2'
'-y+3/4,x+1/4,z+3/4'
'y+3/4,-x+1/4,-z+3/4'
'-x,-y+1/2,z'
'x,y+1/2,-z'
'y+3/4,-x+3/4,z+1/4'
'-y+3/4,x+3/4,-z+1/4'
'x+1/2,-y+1/2,-z+1/2'
'-x+1/2,y+1/2,z+1/2'
'-y+3/4,-x+3/4,-z+1/4'
'y+3/4,x+3/4,z+1/4'
'-x,y+1/2,-z'
'x,-y+1/2,z'
'y+3/4,x+1/4,-z+3/4'
'-y+3/4,-x+1/4,z+3/4'
loop_
_atom_site_label
_atom_site_fract_x
_atom_site_fract_y
_atom_site_fract_z
_atom_site_occupancy
Ac1 0.000 0.250 0.306 1
Mg1 0.000 0.250 0.875 1
# Offset from the most stable computed form, meV/atom: 156
# Energy of formation, eV/atom: 0.10

---

It is found that the calculated total energy values, taken in the order of the records, are -2.2120, -3.7096, -3.1677 eV/atom.